Entry 1:
{
  "formula": "Sr2InAgS4",
  "functional": "PBE",
  "state": "optimized geometry",
  "space_group": "Imma, No. 74",
  "total_magnetization_mub_per_fu": 0.0,
  "dft_energy_ev_per_atom": -4.33,
  "mass_density_g_cm3": 4.56,
  "raw_formation_energy_ev_per_atom": -1.151,
  "lattice_angstrom": [[-5.1040, 6.2939, 0.0597], [-5.8600, -4.3896, 3.4727], [7.5740, 0.5726, 3.4699]],
  "species": ["S", "Ag", "Sr", "S", "In", "Sr", "Sr", "S", "Sr", "Ag", "S", "S", "S", "In", "S", "S"],
  "fractional_positions": [[0.2407, 0.2595, 0.4830], [0.0000, 0.5000, 0.0000], [0.5000, 0.0000, 0.0000], [0.7360, 0.2752, 0.5054], [0.5000, 0.5000, 0.5000], [0.5000, 0.0000, 0.5000], [0.0000, 0.0000, 0.5000], [0.7752, 0.2360, 0.0054], [0.5000, 0.5000, 0.0000], [0.0000, 0.5000, 0.5000], [0.2405, 0.2593, 0.0170], [0.7593, 0.7405, 0.5170], [0.7595, 0.7407, 0.9830], [0.0000, 0.0000, 0.0000], [0.2248, 0.7640, 0.9946], [0.2640, 0.7248, 0.4946]]
}

=====

Entry 2:
{
  "formula": "SmDyTlCu",
  "functional": "PBE",
  "state": "optimized geometry",
  "space_group": "F-43m, No. 216",
  "total_magnetization_mub_per_fu": 0.0,
  "ef_kj_per_mol_fu": -89,
  "dft_energy_ev_per_atom": -4.18,
  "mass_density_g_cm3": 9.52,
  "lattice_angstrom": [[5.2335, 0.0000, 0.0000], [2.6167, 4.5323, 0.0000], [2.6167, 1.5108, 4.2731]],
  "species": ["Tl", "Dy", "Sm", "Cu"],
  "fractional_positions": [[0.7500, 0.7500, 0.7500], [0.0000, 0.0000, 0.0000], [0.5000, 0.5000, 0.5000], [0.2500, 0.2500, 0.2500]]
}

=====

Entry 3:
{
  "formula": "Zr2CrTcAu",
  "functional": "PBE",
  "state": "optimized geometry",
  "space_group": "P4/mmm, No. 123",
  "total_magnetization_mub_per_fu": 1.3,
  "ef_kj_per_mol_fu": 835,
  "dft_energy_ev_per_atom": -6.34,
  "mass_density_g_cm3": 7.02,
  "lattice_angstrom": [[5.0875, 0.0000, 0.0000], [0.0000, 4.8416, 0.0000], [0.0000, 0.0000, 5.0875]],
  "species": ["Zr", "Zr", "Cr", "Au", "Tc"],
  "fractional_positions": [[0.0000, 0.0000, 0.5000], [0.5000, 0.0000, 0.0000], [0.5000, 0.5000, 0.5000], [0.0000, 0.0000, 0.0000], [0.0000, 0.5000, 0.0000]]
}

=====

Entry 4:
{
  "formula": "PmTaSb2",
  "functional": "PBE",
  "state": "optimized geometry",
  "space_group": "R-3m, No. 166",
  "total_magnetization_mub_per_fu": 0.0,
  "dft_energy_ev_per_atom": -5.93,
  "mass_density_g_cm3": 9.27,
  "raw_formation_energy_ev_per_atom": 0.284,
  "lattice_angstrom": [[-1.8246, -2.6052, -0.6822], [0.5226, -1.6804, -2.7357], [6.8287, -7.9231, 4.2374]],
  "species": ["Sb", "Sb", "Ta", "Pm"],
  "fractional_positions": [[0.9146, 0.9146, 0.2563], [0.0854, 0.0854, 0.7437], [0.0000, 0.0000, 0.0000], [0.5000, 0.5000, 0.5000]]
}

=====

Entry 5:
{
  "formula": "TaOs3",
  "functional": "PBE",
  "state": "optimized geometry",
  "space_group": "Pm-3n, No. 223",
  "total_magnetization_mub_per_fu": 0.0,
  "ef_kj_per_mol_fu": 112,
  "dft_energy_ev_per_atom": -11.10,
  "mass_density_g_cm3": 19.91,
  "lattice_angstrom": [[5.0048, 0.0000, 0.0000], [0.0000, 5.0048, 0.0000], [0.0000, 0.0000, 5.0048]],
  "species": ["Os", "Os", "Os", "Ta", "Os", "Ta", "Os", "Os"],
  "fractional_positions": [[0.5000, 0.0000, 0.2500], [0.2500, 0.5000, 0.0000], [0.0000, 0.2500, 0.5000], [0.0000, 0.0000, 0.0000], [0.5000, 0.0000, 0.7500], [0.5000, 0.5000, 0.5000], [0.0000, 0.7500, 0.5000], [0.7500, 0.5000, 0.0000]]
}

=====

Entry 6:
{
  "formula": "K2SiNi",
  "functional": "PBE",
  "state": "optimized geometry",
  "space_group": "I-42d, No. 122",
  "total_magnetization_mub_per_fu": 0.0,
  "dft_energy_ev_per_atom": -3.19,
  "mass_density_g_cm3": 1.63,
  "raw_formation_energy_ev_per_atom": 0.161,
  "lattice_angstrom": [[-9.9314, 1.8976, -7.3098], [-7.5520, -2.5531, 9.5977], [-8.7480, 1.7618, 1.6949]],
  "species": ["Ni", "Ni", "K", "Si", "K", "K", "Si", "K"],
  "fractional_positions": [[0.7500, 0.2500, 0.5000], [0.0000, 0.0000, 0.0000], [0.3750, 0.1436, 0.7500], [0.2500, 0.7500, 0.5000], [0.8564, 0.1250, 0.2500], [0.8936, 0.6250, 0.2500], [0.5000, 0.5000, 0.0000], [0.8750, 0.1064, 0.7500]]
}

=====

Entry 7:
{
  "formula": "Er3TeP2Rh9",
  "functional": "PBE",
  "state": "optimized geometry",
  "space_group": "P-3m1, No. 164",
  "total_magnetization_mub_per_fu": 0.0,
  "dft_energy_ev_per_atom": -6.92,
  "mass_density_g_cm3": 9.19,
  "raw_formation_energy_ev_per_atom": -0.671,
  "lattice_angstrom": [[-0.0766, -3.0152, -5.2346], [0.6086, -3.0027, 5.2070], [-9.1913, -0.8154, 0.6041]],
  "species": ["Te", "Rh", "Er", "Rh", "Rh", "Rh", "Rh", "Rh", "P", "Er", "Rh", "Rh", "Rh", "Er", "P"],
  "fractional_positions": [[0.0000, 0.0000, 0.5000], [0.1511, 0.8489, 0.2724], [0.3333, 0.6667, 0.7371], [0.0000, 0.5000, 0.0000], [0.3022, 0.1511, 0.7276], [0.6978, 0.8489, 0.2724], [0.8489, 0.6978, 0.7276], [0.8489, 0.1511, 0.7276], [0.3333, 0.6667, 0.1605], [0.6667, 0.3333, 0.2629], [0.1511, 0.3022, 0.2724], [0.5000, 0.0000, 0.0000], [0.5000, 0.5000, 0.0000], [0.0000, 0.0000, 0.0000], [0.6667, 0.3333, 0.8395]]
}

=====

Entry 8:
{
  "formula": "LuAl4Zn",
  "functional": "PBE",
  "state": "optimized geometry",
  "space_group": "F-43m, No. 216",
  "total_magnetization_mub_per_fu": 0.0,
  "ef_kj_per_mol_fu": -67,
  "dft_energy_ev_per_atom": -3.58,
  "mass_density_g_cm3": 5.12,
  "lattice_angstrom": [[5.4269, 0.0000, 0.0000], [2.7135, 4.6998, 0.0000], [2.7135, 1.5666, 4.4311]],
  "species": ["Zn", "Al", "Lu", "Al", "Al", "Al"],
  "fractional_positions": [[0.0000, 0.0000, 0.0000], [0.1263, 0.6246, 0.6246], [0.2500, 0.2500, 0.2500], [0.6246, 0.6246, 0.1263], [0.6246, 0.6246, 0.6246], [0.6246, 0.1263, 0.6246]]
}